Cs2SiAuCl6: optimized geometry, GGA-PBE.

Output
Formation energy from raw total energies, meV/atom: -1156
Space group: No. 139

abc: 7.2787 7.2787 7.4132
angles: 60.60 60.60 90.00
Sites, in units of the cell vectors:
Cl: 0.7271 0.2729 0.0000
Cl: 0.2823 0.2823 0.4354
Cl: 0.7271 0.7271 0.0000
Cl: 0.7177 0.7177 0.5646
Cl: 0.2729 0.2729 0.0000
Cl: 0.2729 0.7271 0.0000
Cs: 0.7500 0.2500 0.5000
Cs: 0.2500 0.7500 0.5000
Si: 0.5000 0.5000 0.0000
Au: 0.0000 0.0000 0.0000



PmY3Ho: optimized geometry, GGA-PBE.

Output
Space group: No. 11
DFT formation energy, kJ/mol of formula units: 4

abc: 5.6887 6.3227 9.6658
angles: 109.02 90.00 90.00
Sites, in units of the cell vectors:
Ho: 0.2500 0.2685 0.1990
Ho: 0.7500 0.7315 0.8010
Y: 0.2500 0.6680 0.0001
Y: 0.7500 0.9356 0.1976
Y: 0.7500 0.5349 0.3987
Y: 0.2500 0.4651 0.6013
Y: 0.7500 0.3320 0.9999
Y: 0.2500 0.0644 0.8024
Pm: 0.7500 0.1333 0.6021
Pm: 0.2500 0.8667 0.3979